PmGa4Sb | PBE | relaxed

## Properties
For the volume, the calculation gives 21.3 Å³/atom. The calculation puts the formation energy (no corrections) at -0.263 eV per atom.

```
PmGa4Sb
1.0
5.6540 0.0000 0.0000
2.8270 4.8965 0.0000
2.8270 1.6322 4.6165
Pm Ga Sb
1 4 1
Cartesian
0.0000 0.0000 0.0000 Pm
5.6540 3.2643 0.5773 Ga
4.2406 4.0803 2.8852 Ga
7.0673 4.0803 2.8852 Ga
5.6540 1.6323 2.8852 Ga
2.8270 1.6322 1.1541 Sb
```

***

Zn2RuPb | PBE | relaxed

## Properties
For the volume, the calculation gives 18.2 Å³/atom. The formation energy is 78 kJ/mol of formula units.

```
Zn2RuPb
1.0
4.1492 0.0000 0.0000
0.0000 3.3098 0.1172
0.0000 1.3784 5.3353
Ru Zn Pb
1 2 1
Cartesian
2.0746 4.1370 4.1263 Ru
2.0746 1.0107 0.8800 Zn
0.0000 2.6856 0.2734 Zn
0.0000 2.5089 3.0162 Pb
```

***

Nd8Sn5Ge | PBE | relaxed

## Properties
For the volume, the calculation gives 31.1 Å³/atom. The formation energy is -1012 kJ/mol of formula units.

```
Nd8Sn5Ge
1.0
7.8159 0.0000 -2.6949
-3.8962 6.7385 -2.7863
-0.0235 0.0000 8.2675
Nd Sn Ge
8 5 1
Cartesian
-1.8892 5.0002 -2.3663 Nd
5.0190 1.6965 0.3508 Nd
3.3188 2.6342 4.4590 Nd
7.2770 0.8258 3.0668 Nd
1.3584 5.9127 3.1085 Nd
-1.9417 5.0420 1.8499 Nd
1.3963 4.1043 -1.0872 Nd
1.0462 1.7383 1.7634 Nd
3.8962 0.0000 2.7863 Sn
6.3322 2.5089 -2.7047 Sn
3.4073 4.2296 1.3853 Sn
3.4466 5.8834 -2.7351 Sn
2.4458 0.8551 -1.3354 Sn
-0.0118 3.3693 4.1337 Ge
```

***

Pr6Rh2AuBr3 | PBE | relaxed

## Properties
For the volume, the calculation gives 30.4 Å³/atom. The calculation puts the formation energy (no corrections) at -1.038 eV per atom.

```
Pr6Rh2AuBr3
1.0
7.3329 -0.0033 0.0023
-3.6675 6.3498 0.0023
-1.2199 -2.1122 7.8321
Au Br Pr Rh
1 3 6 2
Cartesian
0.0000 0.0000 0.0000 Au
4.8748 0.0080 3.9184 Br
1.2228 2.1172 3.9184 Br
-2.4293 4.2264 3.9184 Br
2.3811 4.1228 1.5656 Pr
-0.1212 4.2355 6.2717 Pr
0.0645 0.1116 6.2711 Pr
-1.2837 2.2226 1.5650 Pr
2.5667 -0.0012 1.5650 Pr
3.7292 2.0118 6.2717 Pr
-0.0006 4.2321 0.0023 Rh
3.6660 2.1145 0.0023 Rh
```

***

LaSbRu | PBE | relaxed

## Properties
For the volume, the calculation gives 28.8 Å³/atom. The calculation puts the formation energy (no corrections) at 0.497 eV per atom.

```
LaSbRu
1.0
-0.6966 4.1750 -2.5948
-2.8998 3.5973 1.8167
2.0141 4.2600 1.5638
Sb Ru La
1 1 1
Cartesian
-0.7911 6.0161 0.3928 Sb
0.0000 0.0000 0.0000 Ru
-1.1867 9.0242 0.5893 La
```

***

Ac3CdTc | PBE | relaxed

## Properties
For the volume, the calculation gives 36.8 Å³/atom. The formation energy is 10 kJ/mol of formula units. The value obtained for the energy above the most stable polymorph in this dataset is 0.061 eV/atom.

```
Ac3CdTc
1.0
-0.7630 -3.7408 -4.2190
-0.9676 -4.1075 3.8169
-5.5550 1.2293 -0.0853
Tc Ac Cd
1 3 1
Cartesian
0.0000 0.0000 0.0000 Tc
-0.4838 -2.0537 1.9084 Ac
-2.7775 0.6147 -0.0427 Ac
-0.3815 -1.8704 -2.1095 Ac
-3.6428 -3.3095 -0.2437 Cd
```

***

TbEuHoLu | PBE | relaxed

## Properties
For the volume, the calculation gives 32.8 Å³/atom. The formation energy is 64 kJ/mol of formula units.

```
TbEuHoLu
1.0
-1.4956 4.4184 -3.2792
-4.3291 3.3688 1.5563
1.0221 5.3279 1.7554
Ho Eu Lu Tb
1 1 1 1
Cartesian
-2.4013 6.5576 0.0163 Ho
-3.6020 9.8364 0.0244 Eu
-1.2007 3.2788 0.0081 Lu
0.0000 0.0000 0.0000 Tb
```

***

KCdCl2 | PBE | relaxed

## Properties
For the volume, the calculation gives 30.3 Å³/atom. The calculation puts the formation energy (no corrections) at -1.121 eV per atom. The value obtained for the energy above the most stable polymorph in this dataset is 0.062 eV/atom.

```
KCdCl2
1.0
4.5082 -0.0334 0.0356
2.2887 3.8842 0.0356
2.1858 1.2384 6.9063
Cl Cd K
2 1 1
Cartesian
2.1809 1.2356 6.7876 Cl
4.4962 2.5473 3.6074 Cl
6.7371 3.8169 5.2332 Cd
2.2457 1.2723 1.7444 K
```